(1)
# Mg2In2Ga | the Alexandria database | PBE | optimized geometry
# Offset from the most stable computed form   0 meV per atom
# Final energy   -2.34 eV/atom
# SG   P6_3/mmc (194)
# DOS at the Fermi energy   2.2 states/eV/cell
data_Mg2In2Ga
_space_group_name_H-M_alt 'P 1'
_space_group_IT_number 1
_cell_length_a 4.8060
_cell_length_b 4.8060
_cell_length_c 12.0734
_cell_angle_alpha 90.00
_cell_angle_beta 90.00
_cell_angle_gamma 120.00
loop_
_space_group_symop_operation_xyz
'x,y,z'
loop_
_atom_site_label
_atom_site_type_symbol
_atom_site_fract_x
_atom_site_fract_y
_atom_site_fract_z
Mg1 Mg 0.6667 0.3333 0.1018
Mg2 Mg 0.6667 0.3333 0.3982
Mg3 Mg 0.3333 0.6667 0.8982
Mg4 Mg 0.3333 0.6667 0.6018
In1 In 0.0000 0.0000 0.0000
In2 In 0.6667 0.3333 0.7500
In3 In 0.3333 0.6667 0.2500
In4 In 0.0000 0.0000 0.5000
Ga1 Ga 0.0000 0.0000 0.2500
Ga2 Ga 0.0000 0.0000 0.7500

***

(2)
# YTmThSc3 | the Alexandria database | PBE | optimized geometry
# Final energy   -6.18 eV/atom
# SG   P2_1/m (11)
# DOS at the Fermi energy   17.9 states/eV/cell
data_YTmThSc3
_space_group_name_H-M_alt 'P 1'
_space_group_IT_number 1
_cell_length_a 3.4449
_cell_length_b 10.1109
_cell_length_c 10.1316
_cell_angle_alpha 108.38
_cell_angle_beta 90.00
_cell_angle_gamma 90.00
loop_
_space_group_symop_operation_xyz
'x,y,z'
loop_
_atom_site_label
_atom_site_type_symbol
_atom_site_fract_x
_atom_site_fract_y
_atom_site_fract_z
Sc1 Sc 0.2500 0.6171 0.4561
Sc2 Sc 0.7500 0.3829 0.5439
Sc3 Sc 0.7500 0.3841 0.2085
Sc4 Sc 0.7500 0.8725 0.0371
Sc5 Sc 0.2500 0.6159 0.7915
Sc6 Sc 0.2500 0.1275 0.9629
Th1 Th 0.2500 0.6291 0.1255
Th2 Th 0.7500 0.3709 0.8745
Y1 Y 0.7500 0.8682 0.7119
Y2 Y 0.2500 0.1318 0.2881
Tm1 Tm 0.7500 0.8715 0.3774
Tm2 Tm 0.2500 0.1285 0.6226

***

(3)
# PmPu2IO4 | the Alexandria database | PBE | optimized geometry
# Raw formation energy   -2.8242 eV per atom
# Final energy   -9.67 eV/atom
# SG   P4/mmm (123)
# DOS at the Fermi energy   14.0 states/eV/cell
data_PmPu2IO4
_space_group_name_H-M_alt 'P 1'
_space_group_IT_number 1
_cell_length_a 4.0224
_cell_length_b 4.0224
_cell_length_c 9.4333
_cell_angle_alpha 90.00
_cell_angle_beta 90.00
_cell_angle_gamma 90.00
loop_
_space_group_symop_operation_xyz
'x,y,z'
loop_
_atom_site_label
_atom_site_type_symbol
_atom_site_fract_x
_atom_site_fract_y
_atom_site_fract_z
O1 O 0.5000 0.0000 0.8469
O2 O 0.0000 0.5000 0.1531
O3 O 0.5000 0.0000 0.1531
O4 O 0.0000 0.5000 0.8469
I1 I 0.0000 0.0000 0.5000
Pu1 Pu 0.5000 0.5000 0.2560
Pu2 Pu 0.5000 0.5000 0.7440
Pm1 Pm 0.0000 0.0000 0.0000

***

(4)
# AgTeH3 | the Alexandria database | PBE | optimized geometry
# Offset from the most stable computed form   0 meV per atom
# Final energy   -2.45 eV/atom
# SG   Pm-3m (221)
# DOS at the Fermi energy   2.1 states/eV/cell
data_AgTeH3
_space_group_name_H-M_alt 'P 1'
_space_group_IT_number 1
_cell_length_a 4.0787
_cell_length_b 4.0787
_cell_length_c 4.0787
_cell_angle_alpha 90.00
_cell_angle_beta 90.00
_cell_angle_gamma 90.00
loop_
_space_group_symop_operation_xyz
'x,y,z'
loop_
_atom_site_label
_atom_site_type_symbol
_atom_site_fract_x
_atom_site_fract_y
_atom_site_fract_z
H1 H 0.0000 0.0000 0.5000
H2 H 0.0000 0.5000 0.0000
H3 H 0.5000 0.0000 0.0000
Te1 Te 0.0000 0.0000 0.0000
Ag1 Ag 0.5000 0.5000 0.5000

***

(5)
# Sr2NpBeSe5 | the Alexandria database | PBE | optimized geometry
# Raw formation energy   -1.4077 eV per atom
# Final energy   -5.57 eV/atom
# SG   Cmc2_1 (36)
# DOS at the Fermi energy   19.0 states/eV/cell
data_Sr2NpBeSe5
_space_group_name_H-M_alt 'P 1'
_space_group_IT_number 1
_cell_length_a 4.1169
_cell_length_b 9.2609
_cell_length_c 12.9182
_cell_angle_alpha 90.00
_cell_angle_beta 90.00
_cell_angle_gamma 102.84
loop_
_space_group_symop_operation_xyz
'x,y,z'
loop_
_atom_site_label
_atom_site_type_symbol
_atom_site_fract_x
_atom_site_fract_y
_atom_site_fract_z
Se1 Se 0.3128 0.6257 0.3728
Se2 Se 0.6995 0.3989 0.1754
Se3 Se 0.4971 0.9942 0.2745
Se4 Se 0.9579 0.9159 0.5130
Se5 Se 0.3498 0.6997 0.0144
Se6 Se 0.6502 0.3003 0.5144
Se7 Se 0.0421 0.0841 0.0130
Se8 Se 0.6872 0.3743 0.8728
Se9 Se 0.3005 0.6011 0.6754
Se10 Se 0.5029 0.0058 0.7745
Sr1 Sr 0.8851 0.7702 0.1897
Sr2 Sr 0.1147 0.2294 0.3371
Sr3 Sr 0.1149 0.2298 0.6897
Sr4 Sr 0.8853 0.7706 0.8371
Np1 Np 0.8041 0.6083 0.5257
Np2 Np 0.1959 0.3917 0.0257
Be1 Be 0.4367 0.8735 0.4213
Be2 Be 0.5633 0.1265 0.9213

***

(6)
# Hg2POs | the Alexandria database | PBE | optimized geometry
# Final energy   -3.33 eV/atom
# SG   Pmmm (47)
# DOS at the Fermi energy   4.2 states/eV/cell
data_Hg2POs
_space_group_name_H-M_alt 'P 1'
_space_group_IT_number 1
_cell_length_a 3.1423
_cell_length_b 4.6663
_cell_length_c 4.9137
_cell_angle_alpha 90.00
_cell_angle_beta 90.00
_cell_angle_gamma 90.00
loop_
_space_group_symop_operation_xyz
'x,y,z'
loop_
_atom_site_label
_atom_site_type_symbol
_atom_site_fract_x
_atom_site_fract_y
_atom_site_fract_z
P1 P 0.0000 0.5000 0.5000
Hg1 Hg 0.5000 0.5000 0.0000
Hg2 Hg 0.0000 0.0000 0.0000
Os1 Os 0.5000 0.0000 0.5000

***

Among the records above, which one has the lowest DOS at the Fermi energy?
AgTeH3